[1]
{"formula": "TcSbRu2", "functional": "PBE", "state": "relaxed", "total_magnetization_mub_per_cell": 0.0, "raw_formation_energy_mev_per_atom": 343, "lattice_angstrom": [[8.7545, -0.0089, -0.0052], [8.2650, 2.8863, -0.0052], [8.2650, 1.3973, 2.5255]], "species": ["Ru", "Ru", "Sb", "Tc"], "fractional_positions": [[0.0025, 0.0025, 0.0025], [0.4975, 0.4975, 0.4975], [0.2500, 0.2500, 0.2500], [0.7500, 0.7500, 0.7500]]}

=====

[2]
{"formula": "LaScMo", "functional": "PBE", "state": "relaxed", "delta_e_f_ev_per_atom": 0.3161, "total_magnetization_mub_per_cell": 0.0, "lattice_angstrom": [[-5.6385, -2.1406, 2.2651], [-3.4065, -2.3193, 4.9515], [-1.5474, 2.7714, 1.4681]], "species": ["La", "Mo", "Sc"], "fractional_positions": [[0.9773, 0.9773, 0.0227], [0.3232, 0.3232, 0.6768], [0.6996, 0.6996, 0.3004]]}

=====

[3]
{"formula": "Na2CaPb3", "functional": "PBE", "state": "relaxed", "delta_e_f_ev_per_atom": -0.2574, "total_magnetization_mub_per_cell": 0.0, "lattice_angstrom": [[-0.0445, -1.6552, 3.5099], [-1.1548, -3.3454, -1.5923], [11.0247, -3.1622, -1.3516]], "species": ["Na", "Na", "Ca", "Pb", "Pb", "Pb"], "fractional_positions": [[0.5000, 0.5000, 0.8375], [0.5000, 0.5000, 0.1625], [0.5000, 0.5000, 0.5000], [0.0000, 0.0000, 0.0000], [0.0000, 0.0000, 0.6762], [0.0000, 0.0000, 0.3238]]}

=====

[4]
{"formula": "Ba3SrBi2Br", "functional": "PBE", "state": "relaxed", "total_magnetization_mub_per_cell": 0.0, "raw_formation_energy_mev_per_atom": -935, "lattice_angstrom": [[-4.0443, -3.2688, -2.5189], [4.0278, -1.9318, -3.9601], [2.1858, -4.4514, 8.8942]], "species": ["Ba", "Ba", "Ba", "Sr", "Bi", "Bi", "Br"], "fractional_positions": [[0.0000, 0.5000, 0.0000], [0.1855, 0.1855, 0.3710], [0.8145, 0.8145, 0.6290], [0.5000, 0.0000, 0.0000], [0.6271, 0.6271, 0.2542], [0.3729, 0.3729, 0.7458], [0.0000, 0.0000, 0.0000]]}

=====

[5]
{"formula": "SbAs2PSe", "functional": "PBE", "state": "relaxed", "total_magnetization_mub_per_cell": 0.0, "raw_formation_energy_mev_per_atom": 1273, "lattice_angstrom": [[5.2860, 0.0000, 0.0000], [0.0000, 5.2860, 0.0000], [0.0000, 0.0000, 5.1359]], "species": ["Sb", "As", "As", "Se", "P"], "fractional_positions": [[0.0000, 0.0000, 0.0000], [0.0000, 0.5000, 0.0000], [0.5000, 0.0000, 0.0000], [0.0000, 0.0000, 0.5000], [0.5000, 0.5000, 0.5000]]}

=====

[6]
{"formula": "AcBiS2O", "functional": "PBE", "state": "relaxed", "total_magnetization_mub_per_cell": 0.0, "raw_formation_energy_mev_per_atom": -1728, "lattice_angstrom": [[-1.9607, -3.4644, -1.0976], [1.2448, -1.8119, 3.4954], [-11.8741, 4.6214, 6.6243]], "species": ["Ac", "Ac", "Bi", "Bi", "S", "S", "S", "S", "O", "O"], "fractional_positions": [[0.5000, 0.0000, 0.5931], [0.0000, 0.5000, 0.4069], [0.5000, 0.0000, 0.1272], [0.0000, 0.5000, 0.8728], [0.0000, 0.5000, 0.6973], [0.0000, 0.5000, 0.1059], [0.5000, 0.0000, 0.8941], [0.5000, 0.0000, 0.3027], [0.0000, 0.0000, 0.5000], [0.5000, 0.5000, 0.5000]]}